1.
A plane-wave DFT calculation with PBE-GGA was carried out for Ba2TeRh after structural relaxation.

Properties
Crystal system: trigonal
Energy in eV per atom: -4.160

The structure in extended XYZ format:
```
4
Lattice="8.535 -2.269 0.011 8.535 2.269 0.011 7.927 0.000 3.893" Properties=species:S:1:pos:R:3 pbc="T T T"
Ba 6.368 0.000 0.997
Ba 18.628 0.000 2.918
Te 12.498 0.000 1.958
Rh 0.000 0.000 0.000
```

=====

2.
A plane-wave DFT calculation with PBE-GGA was carried out for BaTeRh2 after structural relaxation.

Properties
Crystal system: tetragonal
Energy in eV per atom: -4.881

The structure in extended XYZ format:
```
4
Lattice="-4.725 -3.647 -0.307 -5.090 1.330 2.836 3.952 2.597 -3.654" Properties=species:S:1:pos:R:3 pbc="T T T"
Ba -2.840 -1.104 -1.348
Rh 0.000 0.000 0.000
Rh -3.023 1.385 0.223
Te -4.908 -1.158 1.265
```

=====

no.,ΔE_f (raw) (eV/atom)
1,-0.576
2,0.061